(1)
The following is a GGA-PBEsol calculation of a relaxed ZnSn2I crystal, from the Alexandria database.

formation energy without anion corrections	0.2829	eV/atom
DFT total energy	-10.74	eV per formula unit

Unit cell a=5.264 b=5.264 c=5.264 alpha=60.00 beta=60.00 gamma=60.00
Fractional coordinates of all 4 atoms:
Zn1 0.000 0.000 0.000
Sn1 0.250 0.250 0.250
Sn2 0.750 0.750 0.750
I1 0.500 0.500 0.500

=====

(2)
The following is a GGA-PBEsol calculation of a relaxed ZrSnI3 crystal, from the Alexandria database.

formation energy without anion corrections	-0.0779	eV/atom
DFT total energy	-19.04	eV per formula unit

Unit cell a=5.620 b=5.620 c=5.620 alpha=90.00 beta=90.00 gamma=90.00
Fractional coordinates of all 5 atoms:
Zr1 0.000 0.000 0.000
Sn1 0.500 0.500 0.500
I1 0.000 0.000 0.500
I2 0.000 0.500 0.000
I3 0.500 0.000 0.000

=====

(3)
The following is a GGA-PBEsol calculation of a relaxed ZrSn3I crystal, from the Alexandria database.

formation energy without anion corrections	1.1858	eV/atom
DFT total energy	-17.71	eV per formula unit

Unit cell a=5.561 b=5.561 c=5.561 alpha=90.00 beta=90.00 gamma=90.00
Fractional coordinates of all 5 atoms:
Zr1 0.000 0.000 0.000
Sn1 0.000 0.500 0.500
Sn2 0.500 0.000 0.500
Sn3 0.500 0.500 0.000
I1 0.500 0.500 0.500

=====

(4)
The following is a GGA-PBEsol calculation of a relaxed SrI2 crystal, from the Alexandria database.

formation energy without anion corrections	-1.6788	eV/atom
DFT total energy	-10.41	eV per formula unit

Unit cell a=7.748 b=15.177 c=8.222 alpha=90.00 beta=90.00 gamma=90.00
Fractional coordinates of all 24 atoms:
Sr1 0.224 0.111 0.052
Sr2 0.224 0.389 0.552
Sr3 0.276 0.611 0.052
Sr4 0.276 0.889 0.552
Sr5 0.724 0.111 0.448
Sr6 0.724 0.389 0.948
Sr7 0.776 0.611 0.448
Sr8 0.776 0.889 0.948
I1 0.006 0.035 0.731
I2 0.006 0.465 0.231
I3 0.166 0.700 0.397
I4 0.166 0.800 0.897
I5 0.334 0.200 0.397
I6 0.334 0.300 0.897
I7 0.494 0.535 0.731
I8 0.494 0.965 0.231
I9 0.506 0.035 0.769
I10 0.506 0.465 0.269
I11 0.666 0.700 0.103
I12 0.666 0.800 0.603
I13 0.834 0.200 0.103
I14 0.834 0.300 0.603
I15 0.994 0.535 0.769
I16 0.994 0.965 0.269

=====

Please write out number 4 again, unchanged.
The following is a GGA-PBEsol calculation of a relaxed SrI2 crystal, from the Alexandria database.

formation energy without anion corrections	-1.6788	eV/atom
DFT total energy	-10.41	eV per formula unit

Unit cell a=7.748 b=15.177 c=8.222 alpha=90.00 beta=90.00 gamma=90.00
Fractional coordinates of all 24 atoms:
Sr1 0.224 0.111 0.052
Sr2 0.224 0.389 0.552
Sr3 0.276 0.611 0.052
Sr4 0.276 0.889 0.552
Sr5 0.724 0.111 0.448
Sr6 0.724 0.389 0.948
Sr7 0.776 0.611 0.448
Sr8 0.776 0.889 0.948
I1 0.006 0.035 0.731
I2 0.006 0.465 0.231
I3 0.166 0.700 0.397
I4 0.166 0.800 0.897
I5 0.334 0.200 0.397
I6 0.334 0.300 0.897
I7 0.494 0.535 0.731
I8 0.494 0.965 0.231
I9 0.506 0.035 0.769
I10 0.506 0.465 0.269
I11 0.666 0.700 0.103
I12 0.666 0.800 0.603
I13 0.834 0.200 0.103
I14 0.834 0.300 0.603
I15 0.994 0.535 0.769
I16 0.994 0.965 0.269